## Y3W (PBE-GGA)

Data for a geometry-optimized Y3W structure.

Geometry as POSCAR:
```
Y3W
1.0
-3.092 3.527 0.000
-0.129 -0.113 -4.687
-3.525 -3.090 0.172
Y W
3 1
direct
0.000 0.500 0.500
0.500 0.500 0.000
0.500 0.000 0.500
0.000 0.000 0.000
```

Properties
ΔH_f (0 K), eV per atom: 0.501